1.
# HoHf2Pt3 | OQMD via LeMat-Bulk | GGA-PBE | optimized geometry
# Calculated total energy = -48.42 eV per formula unit
data_HoHf2Pt3
_cell_length_a 3.8740
_cell_length_b 3.8740
_cell_length_c 9.7051
_cell_angle_alpha 90.00
_cell_angle_beta 90.00
_cell_angle_gamma 120.00
_symmetry_space_group_name_H-M 'P -3 m 1'
_symmetry_Int_Tables_number 164
_symmetry_space_group_name_Hall '-P 3 2"'
loop_
_atom_site_label
_atom_site_type_symbol
_atom_site_fract_x
_atom_site_fract_y
_atom_site_fract_z
_atom_site_occupancy
Ho1 Ho 0.0000 0.0000 0.0000 1
Hf1 Hf 0.3333 0.6667 0.3379 1
Pt1 Pt 0.0000 0.0000 0.5000 1
Pt2 Pt 0.3333 0.6667 0.8149 1

=====

2.
# HoHfSi2Pt4 | OQMD via LeMat-Bulk | GGA-PBE | optimized geometry
# Calculated total energy = -58.42 eV per formula unit
data_HoHfSi2Pt4
_cell_length_a 7.008
_cell_length_b 3.849
_cell_length_c 9.910
_cell_angle_alpha 90.00
_cell_angle_beta 90.00
_cell_angle_gamma 90.00
_symmetry_space_group_name_H-M 'A m m 2'
_symmetry_Int_Tables_number 38
loop_
_symmetry_equiv_pos_as_xyz
'x,y,z'
'-x,-y,z'
'-x,y,z'
'x,-y,z'
'x,y+1/2,z+1/2'
'-x,-y+1/2,z+1/2'
'-x,y+1/2,z+1/2'
'x,-y+1/2,z+1/2'
loop_
_atom_site_label
_atom_site_type_symbol
_atom_site_fract_x
_atom_site_fract_y
_atom_site_fract_z
_atom_site_occupancy
Ho1 Ho 0.000 0.000 0.000 1
Hf1 Hf 0.500 0.000 0.893 1
Si1 Si 0.000 0.000 0.716 1
Si2 Si 0.500 0.000 0.175 1
Pt1 Pt 0.205 0.000 0.306 1
Pt2 Pt 0.302 0.000 0.585 1

=====

3.
# HoPuHf | OQMD via LeMat-Bulk | GGA-PBE | optimized geometry
# Excess energy over the best structure of this formula in the dataset = 0.0 meV/atom
data_HoPuHf
_cell_length_a 7.193
_cell_length_b 7.193
_cell_length_c 7.193
_cell_angle_alpha 90.00
_cell_angle_beta 90.00
_cell_angle_gamma 90.00
_symmetry_space_group_name_H-M 'F -4 3 m'
_symmetry_Int_Tables_number 216
_symmetry_space_group_name_Hall 'F -4 2 3'
loop_
_atom_site_label
_atom_site_type_symbol
_atom_site_fract_x
_atom_site_fract_y
_atom_site_fract_z
_atom_site_occupancy
Ho1 Ho 0.000 0.000 0.000 1
Pu1 Pu 0.000 0.000 0.500 1
Hf1 Hf 0.250 0.250 0.250 1

=====

4.
# RbHoHf | OQMD via LeMat-Bulk | GGA-PBE | optimized geometry
# Excess energy over the best structure of this formula in the dataset = 0.0 meV/atom
data_RbHoHf
_cell_length_a 8.075
_cell_length_b 8.075
_cell_length_c 8.075
_cell_angle_alpha 90.00
_cell_angle_beta 90.00
_cell_angle_gamma 90.00
_symmetry_space_group_name_H-M 'F -4 3 m'
_symmetry_Int_Tables_number 216
_symmetry_space_group_name_Hall 'F -4 2 3'
loop_
_atom_site_label
_atom_site_type_symbol
_atom_site_fract_x
_atom_site_fract_y
_atom_site_fract_z
_atom_site_occupancy
Rb1 Rb 0.000 0.000 0.000 1
Ho1 Ho 0.000 0.000 0.500 1
Hf1 Hf 0.250 0.250 0.750 1